Arrangement a

# Nd2ErS4

Crystalline Nd2ErS4 at its relaxed geometry (PBE-GGA, Alexandria via LeMat-Bulk).

```
14
Lattice="3.8518 0.0000 0.0000 -1.9259 6.7199 0.0000 0.0000 0.0000 13.4114" Properties=species:S:1:pos:R:3 pbc="T T T"
S 1.9259 6.5014 10.0586
S 0.0000 2.9459 11.7145
S 0.0000 0.2184 3.3529
S 1.9259 0.0000 0.0000
S 1.9259 0.0000 6.7057
S 0.0000 2.9459 8.4027
S 1.9259 3.7739 5.0088
S 1.9259 3.7739 1.6970
Er 1.9259 1.7185 10.0586
Er 0.0000 5.0014 3.3529
Nd 0.0000 1.7375 0.9701
Nd 1.9259 4.9824 7.6758
Nd 1.9259 4.9824 12.4413
Nd 0.0000 1.7375 5.7356
```

- SG: No. 63


Arrangement b

# Nd2ErS4

Crystalline Nd2ErS4 at its relaxed geometry (PBE-GGA, Alexandria via LeMat-Bulk).

```
14
Lattice="-1.9283 -0.5861 3.5820 6.1773 -2.3282 2.9446 2.5320 10.6445 3.1047" Properties=species:S:1:pos:R:3 pbc="T T T"
Nd 3.2411 6.0739 5.0966
Nd 6.6560 6.2813 6.9689
Nd 0.1250 1.4489 2.6623
Nd 3.5399 1.6563 4.5346
S 1.6620 3.9325 3.8961
S 5.1190 3.7977 5.7351
S 2.6161 7.3474 2.6105
S 3.0414 9.2121 5.5025
S 5.8644 6.8545 4.2785
S 2.8449 1.4617 1.7707
S 3.7396 -1.4818 4.1287
S 6.0932 0.9689 3.4387
Er 1.2660 5.3223 1.5523
Er 3.0886 -1.1641 1.4723
```

- SG: No. 55


Which structure is the least stable? The one labeled arrangement a.


Arrangement a

# Nd2ErS3

Crystalline Nd2ErS3 at its relaxed geometry (PBE-GGA, Alexandria via LeMat-Bulk).

```
6
Lattice="-2.1656 3.1110 -0.1238 -1.8502 -1.4626 -4.3894 -3.6550 -4.6208 5.9088" Properties=species:S:1:pos:R:3 pbc="T T T"
Nd -3.6656 -0.2872 -1.1875
Nd -4.0052 -2.6853 2.5831
S -1.9440 -1.3034 1.2538
S -5.7268 -1.6692 0.1418
S -0.9251 -0.7313 -2.1947
Er 0.0000 0.0000 0.0000
```

- SG: No. 71


Arrangement b

# Nd2ErS3

Crystalline Nd2ErS3 at its relaxed geometry (PBE-GGA, Alexandria via LeMat-Bulk).

```
6
Lattice="-0.6787 0.8583 -3.8364 3.3363 -1.9158 1.0554 -4.6154 -8.6548 -1.1199" Properties=species:S:1:pos:R:3 pbc="T T T"
Nd -1.0943 -6.7897 -1.3255
Nd -0.8635 -2.9225 -2.5754
S 1.2989 -2.3019 -0.7448
S -3.2567 -7.4103 -3.1560
S -2.3077 -4.3274 -0.5599
Er 0.0000 0.0000 0.0000
```

- SG: No. 164


Which structure is the least stable? The one labeled arrangement a.


Arrangement a

# Nd3ErS4

Crystalline Nd3ErS4 at its relaxed geometry (PBE-GGA, Alexandria via LeMat-Bulk).

```
16
Lattice="-2.0765 6.5750 -0.8968 -2.3608 -2.3590 6.1704 6.6720 2.5904 3.5430" Properties=species:S:1:pos:R:3 pbc="T T T"
Nd 0.9535 5.9061 0.6607
Nd 4.1285 2.7270 5.9559
Nd 3.6419 3.2593 1.9854
Nd 1.4157 5.3643 4.6182
Nd -1.8938 4.0794 2.8607
Nd 0.8190 1.4421 4.1984
S 0.2289 -0.2490 1.8783
S 1.3793 3.1881 6.4591
S 0.6482 -0.7864 5.9680
S 1.5865 7.5928 2.8486
S 2.0058 7.0554 6.9383
S -2.0510 1.7898 4.6811
S 4.2857 5.0166 4.1355
S 0.8554 3.6183 2.3575
Er 4.2714 7.1943 2.4226
Er 0.3241 1.9711 0.2236
```

- SG: No. 13


Arrangement b

# Nd3ErS4

Crystalline Nd3ErS4 at its relaxed geometry (PBE-GGA, Alexandria via LeMat-Bulk).

```
8
Lattice="5.6915 0.0000 0.0000 0.0000 5.6915 0.0000 0.0000 0.0000 5.6915" Properties=species:S:1:pos:R:3 pbc="T T T"
S 2.8457 2.8457 2.8457
S 0.0000 2.8457 0.0000
S 0.0000 0.0000 2.8457
S 2.8457 0.0000 0.0000
Nd 2.8457 2.8457 0.0000
Nd 0.0000 2.8457 2.8457
Nd 2.8457 0.0000 2.8457
Er 0.0000 0.0000 0.0000
```

- SG: No. 221


Which structure is the least stable? The one labeled arrangement b.


Arrangement a

# Nd3ErSb2

Crystalline Nd3ErSb2 at its relaxed geometry (PBE-GGA, Alexandria via LeMat-Bulk).

```
6
Lattice="-1.3372 -1.4026 -4.1374 2.3703 -3.8676 0.5451 -7.0525 -3.8185 3.5739" Properties=species:S:1:pos:R:3 pbc="T T T"
Nd -3.3717 -4.4010 2.5817
Nd -3.1643 -2.0526 -0.8040
Nd 0.0000 0.0000 0.0000
Sb -0.7575 -2.9856 1.2570
Sb -5.7785 -3.4680 0.5207
Er 0.5165 -2.6351 -1.7962
```

- SG: No. 115


Arrangement b

# Nd3ErSb2

Crystalline Nd3ErSb2 at its relaxed geometry (PBE-GGA, Alexandria via LeMat-Bulk).

```
12
Lattice="-6.6154 -1.0413 2.6823 3.0628 -0.6068 7.3183 1.0189 7.9808 -4.0899" Properties=species:S:1:pos:R:3 pbc="T T T"
Nd -1.0106 -0.9758 6.8299
Nd -4.5134 3.7888 0.0405
Nd 1.9797 2.5438 5.8702
Nd -2.9820 3.4854 3.6996
Nd -2.5420 -0.6724 3.1707
Nd 0.4483 2.8472 2.2111
Sb -0.7869 1.4283 4.7730
Sb -1.7467 4.9043 1.1377
Sb 2.1998 4.9811 3.8176
Sb -4.7335 1.3515 2.0931
Er 0.0000 0.0000 0.0000
Er 1.5314 -0.3034 3.6591
```

- SG: No. 72


Which structure is the least stable? The one labeled arrangement b.


Arrangement a

# Nd4ErSc

Crystalline Nd4ErSc at its relaxed geometry (PBE-GGA, Alexandria via LeMat-Bulk).

```
6
Lattice="-2.0847 -0.1843 -2.7565 5.1961 -5.1225 -3.5873 -3.9086 -6.2795 3.3759" Properties=species:S:1:pos:R:3 pbc="T T T"
Nd -2.5226 -6.0633 0.1404
Nd 1.7254 -5.5230 -3.1084
Nd -1.7693 -2.9792 -2.8082
Nd 0.9720 -8.6071 -0.1598
Er -1.0424 -0.0922 -1.3783
Sc 0.6437 -5.7010 -0.1057
```

- SG: No. 65


Arrangement b

# Nd4ErSc

Crystalline Nd4ErSc at its relaxed geometry (PBE-GGA, Alexandria via LeMat-Bulk).

```
6
Lattice="6.0321 0.0859 1.3704 2.9586 5.4089 0.5195 -0.2979 -1.5731 5.9933" Properties=species:S:1:pos:R:3 pbc="T T T"
Nd 1.3146 0.1070 3.3037
Nd 3.0040 1.8366 0.6323
Nd 7.3782 3.8147 4.5796
Nd 5.6888 2.0851 7.2510
Er 4.3464 1.9608 3.9416
Sc 0.0000 0.0000 0.0000
```

- SG: No. 12


Which structure is the least stable? The one labeled arrangement a.


Arrangement a

# Nd2Er2Sc

Crystalline Nd2Er2Sc at its relaxed geometry (PBE-GGA, Alexandria via LeMat-Bulk).

```
10
Lattice="5.5585 0.0000 0.0000 0.0000 6.4313 -0.3987 0.0000 0.5689 9.0995" Properties=species:S:1:pos:R:3 pbc="T T T"
Er 0.0000 6.3445 5.6978
Er 0.0000 3.7792 1.2884
Er 0.0000 3.2211 7.4118
Er 0.0000 0.6551 3.0030
Sc 0.0000 3.5000 4.3501
Sc 0.0000 0.5693 9.0994
Nd 2.7793 5.3708 7.8759
Nd 2.7793 1.6297 0.8256
Nd 2.7793 1.9803 5.3481
Nd 2.7793 5.0190 3.3542
```

- SG: No. 10


Arrangement b

# Nd2Er2Sc

Crystalline Nd2Er2Sc at its relaxed geometry (PBE-GGA, Alexandria via LeMat-Bulk).

```
10
Lattice="-2.5292 -5.0151 0.3762 1.4856 -0.5146 3.1276 -12.0294 9.6264 5.3388" Properties=species:S:1:pos:R:3 pbc="T T T"
Er -5.9332 0.2679 5.8008
Er -9.5385 5.1402 4.3970
Er -7.1397 3.8288 3.0418
Er -3.5344 -1.0435 4.4457
Sc -8.9973 1.7942 5.5484
Sc -4.0756 2.3025 3.2942
Nd -2.0018 -2.0301 1.5963
Nd -11.0711 6.1268 7.2463
Nd -12.5564 3.5911 5.5756
Nd -0.5165 0.5056 3.2670
```

- SG: No. 74


Which structure is the least stable? The one labeled arrangement a.


Arrangement a

# Nd4Er5Sc

Crystalline Nd4Er5Sc at its relaxed geometry (PBE-GGA, Alexandria via LeMat-Bulk).

```
10
Lattice="0.5053 2.1790 -2.6821 6.4960 -7.5803 -4.9059 -6.9187 -4.4380 -2.7329" Properties=species:S:1:pos:R:3 pbc="T T T"
Er 1.2890 -5.3569 -4.1189
Er 3.5007 -2.7007 -3.7940
Er 3.9438 -8.3894 -6.0591
Er -1.2063 -4.4825 -6.2021
Er -3.8611 -1.4500 -4.2619
Nd -0.2647 -1.9389 -3.8547
Nd 0.3474 -7.9005 -6.4663
Nd 4.5264 -5.9286 -3.9385
Nd -4.4438 -3.9108 -6.3824
Sc 0.2527 1.0895 -1.3411
```

- SG: No. 2


Arrangement b

# Nd4Er5Sc

Crystalline Nd4Er5Sc at its relaxed geometry (PBE-GGA, Alexandria via LeMat-Bulk).

```
10
Lattice="-1.7053 -5.4512 1.0063 5.3913 -3.9255 4.5843 -4.4804 -0.4422 6.7248" Properties=species:S:1:pos:R:3 pbc="T T T"
Nd 0.0797 -2.0848 3.7603
Nd 1.4576 -5.2391 5.7213
Nd -0.6910 -7.1490 8.4471
Nd -2.0689 -3.9947 6.4860
Er -3.7916 -6.1247 9.2119
Er -1.1594 -3.7062 0.6842
Er 3.1323 -3.2626 3.0238
Er -2.9895 -4.3846 3.2847
Er 2.3302 -5.0027 8.9510
Sc -0.3470 -1.1092 0.2048
```

- SG: No. 107


Which structure is the least stable? The one labeled arrangement b.


Arrangement a

# Nd3ErSc2

Crystalline Nd3ErSc2 at its relaxed geometry (PBE-GGA, Alexandria via LeMat-Bulk).

```
12
Lattice="7.0493 0.0000 0.0000 0.0000 6.0335 0.6267 -3.5247 -0.8041 8.5682" Properties=species:S:1:pos:R:3 pbc="T T T"
Er 6.1540 4.5251 0.4700
Er 0.8953 1.5084 0.1567
Nd 2.6365 1.9628 5.9312
Nd -0.8882 0.2499 2.9504
Nd 2.6572 4.5251 0.4700
Nd 4.3922 1.5084 0.1567
Nd 0.8882 3.2666 3.2637
Nd 4.4128 4.9796 6.2445
Sc 4.3974 3.2357 3.2332
Sc 0.8727 5.0105 6.2750
Sc -0.8727 1.9937 5.9616
Sc 2.6519 0.2189 2.9199
```

- SG: No. 15


Arrangement b

# Nd3ErSc2

Crystalline Nd3ErSc2 at its relaxed geometry (PBE-GGA, Alexandria via LeMat-Bulk).

```
12
Lattice="-0.8196 4.2549 -3.4285 7.1630 -2.2506 -4.5054 -7.2150 -3.8807 -3.0914" Properties=species:S:1:pos:R:3 pbc="T T T"
Nd -4.0844 -0.5586 -4.1070
Nd -0.4513 -3.4734 -8.5929
Nd 2.8145 0.7501 -8.5845
Nd -4.5082 -0.0801 -7.8643
Nd 3.2383 0.2716 -4.8272
Nd -0.8186 3.6649 -4.0987
Sc -2.3152 1.5632 -6.3492
Sc 1.0453 -1.3717 -6.3423
Sc -1.9151 -1.7073 -6.0512
Sc 0.6452 1.8988 -6.6403
Er -0.8513 -0.1898 -8.8746
Er -0.4186 0.3813 -3.8169
```

- SG: No. 63


Which structure is the least stable? The one labeled arrangement b.